1.
BaSr3 at its PBEsol-relaxed geometry, computed with SCAN.

a b c (Å): 4.7125 6.6871 7.8330
angles (deg): 115.27 107.51 90.00
With the nearest neighbours (Å) after each atom.
Fractional coordinates of all 4 atoms:
Sr 0.7527 0.7527 0.5053  6 Sr 4.06-4.09, 2 Ba 4.12
Sr 0.2473 0.2473 0.4947  6 Sr 4.06-4.09, 2 Ba 4.12
Sr 0.5000 0.0000 0.0000  4 Sr 4.06, 4 Ba 4.09
Ba 0.0000 0.5000 0.0000  8 Sr 4.09-4.12

Calculated values
For the distance to the lowest polymorph of the same formula, the calculation gives 0.02 eV/f.u. Its calculated density is 3.16 Mg/m³. As for the calculated total energy: -106.30 eV per cell.



2.
Ba2Sr at its PBEsol-relaxed geometry, computed with SCAN.

a b c (Å): 4.1550 6.8007 6.8007
angles (deg): 120.00 90.00 90.00
With the nearest neighbours (Å) after each atom.
Fractional coordinates of all 3 atoms:
Sr 0.0000 0.0000 0.0000  2 Sr 4.15, 6 Ba 4.17
Ba 0.6640 0.3333 0.6667  5 Ba 4.15-4.16, 3 Sr 4.17
Ba 0.3360 0.6667 0.3333  5 Ba 4.15-4.16, 3 Sr 4.17

Calculated values
For the distance to the lowest polymorph of the same formula, the calculation gives 0.00 eV/f.u. Its calculated density is 3.61 Mg/m³. As for the calculated total energy: -101.34 eV per cell.